Version i
PBE Y2TcMo, relaxed; D(E_F) = 6.943 states/eV/f.u.; crystal system = tetragonal; size of the total moment = 1.7 μB per formula unit
1.0
-2.471 -1.805 3.862
4.222 -0.418 2.506
-0.417 3.226 1.241
Mo Tc Y
1 1 2
direct
0.500 0.000 0.500
0.000 0.500 0.500
0.000 0.000 0.000
0.500 0.500 0.000


Version ii
PBE Y2TcMo, relaxed; D(E_F) = 7.394 states/eV/f.u.; crystal system = tetragonal; size of the total moment = 0.0 μB per formula unit
1.0
7.719 0.000 0.000
0.000 7.719 0.000
3.859 3.859 2.959
Y Mo Tc
4 2 2
direct
0.640 0.125 0.250
0.110 0.625 0.250
0.375 0.360 0.750
0.875 0.890 0.750
0.500 0.500 0.000
0.250 0.750 0.500
0.000 0.000 0.000
0.750 0.250 0.500


Version iii
PBE Y2TcMo, relaxed; D(E_F) = 4.746 states/eV/f.u.; crystal system = orthorhombic; size of the total moment = 0.6 μB per formula unit
1.0
5.622 0.027 0.002
2.279 5.140 -0.002
-3.377 -3.460 2.869
Mo Tc Y
1 1 2
direct
0.750 0.250 0.500
0.250 0.750 0.500
0.013 0.013 0.000
0.487 0.487 0.000


Version iv
PBE Y2TcMo, relaxed; D(E_F) = 4.775 states/eV/f.u.; crystal system = trigonal; size of the total moment = 0.4 μB per formula unit
1.0
-7.923 4.423 1.868
-8.688 3.050 -1.027
-9.002 1.313 1.754
Mo Tc Y
1 1 2
direct
0.250 0.250 0.250
0.750 0.750 0.750
0.005 0.005 0.005
0.495 0.495 0.495


Short version: version ii is the least stable of them.


Version i
PBE Y2TcMo, relaxed; D(E_F) = 5.245 states/eV/f.u.; crystal system = monoclinic; size of the total moment = 0.0 μB per formula unit
1.0
-0.773 3.092 -4.533
-4.304 -3.318 1.086
-2.054 2.055 1.054
Mo Tc Y
1 1 2
direct
0.500 0.000 0.500
0.000 0.500 0.500
0.000 0.000 0.000
0.500 0.500 0.000


Version ii
PBE Y2TcMo, relaxed; D(E_F) = 4.858 states/eV/f.u.; crystal system = monoclinic; size of the total moment = 0.0 μB per formula unit
1.0
-2.266 0.607 -3.558
-2.772 -1.278 1.547
-2.756 5.202 2.643
Mo Tc Y
1 1 2
direct
0.000 0.576 0.540
0.500 0.676 0.709
0.000 0.980 0.947
0.500 0.268 0.304


Version iii
PBE Y2TcMo, relaxed; D(E_F) = 4.936 states/eV/f.u.; crystal system = monoclinic; size of the total moment = 0.0 μB per formula unit
1.0
4.882 0.002 -0.010
3.979 2.827 -0.010
0.388 0.124 6.079
Mo Tc Y
1 1 2
direct
0.750 0.750 0.750
0.250 0.250 0.250
0.001 0.001 0.003
0.499 0.499 0.497


Short version: version iii is the least stable of them.


Version i
PBE Y2TcMo, relaxed; D(E_F) = 5.379 states/eV/f.u.; crystal system = orthorhombic; size of the total moment = 0.0 μB per formula unit
1.0
3.549 0.000 0.000
0.000 4.997 0.000
0.000 0.000 4.642
Mo Tc Y
1 1 2
direct
0.500 0.000 0.500
0.000 0.500 0.500
0.000 0.000 0.000
0.500 0.500 0.000


Version ii
PBE Y2TcMo, relaxed; D(E_F) = 7.311 states/eV/f.u.; crystal system = cubic; size of the total moment = 3.1 μB per formula unit
1.0
2.451 -3.713 -2.162
2.711 -3.100 2.740
-1.496 -4.668 0.663
Y Mo Tc
2 1 1
direct
0.250 0.250 0.250
0.750 0.750 0.750
0.000 0.000 0.000
0.500 0.500 0.500


Short version: version i is the least stable of them.


Version i
PBE Y2TcMo, relaxed; D(E_F) = 5.551 states/eV/f.u.; crystal system = monoclinic; size of the total moment = 0.0 μB per formula unit
1.0
4.622 0.000 0.000
0.000 3.088 0.004
0.000 1.124 5.792
Mo Tc Y
1 1 2
direct
0.500 0.250 0.250
0.500 0.750 0.750
0.000 0.972 0.995
0.000 0.528 0.505


Version ii
PBE Y2TcMo, relaxed; D(E_F) = 5.284 states/eV/f.u.; crystal system = orthorhombic; size of the total moment = 0.0 μB per formula unit
1.0
-2.904 0.648 -0.796
1.410 -1.577 -2.239
-2.834 -7.988 3.841
Mo Tc Y
1 1 2
direct
0.500 0.500 0.250
0.500 0.500 0.750
0.000 0.000 0.988
0.000 0.000 0.512


Version iii
PBE Y2TcMo, relaxed; D(E_F) = 1.971 states/eV/f.u.; crystal system = orthorhombic; size of the total moment = 0.0 μB per formula unit
1.0
-2.118 5.043 -2.359
-3.445 4.794 0.792
2.456 4.201 1.366
Mo Tc Y
1 1 2
direct
0.543 0.543 0.458
0.216 0.216 0.283
0.981 0.981 0.020
0.760 0.760 0.739


Version iv
PBE Y2TcMo, relaxed; D(E_F) = 3.736 states/eV/f.u.; crystal system = tetragonal; size of the total moment = 0.0 μB per formula unit
1.0
3.239 0.000 0.000
0.000 3.239 0.000
0.000 0.000 8.594
Mo Tc Y
1 1 2
direct
0.000 0.000 0.551
0.500 0.500 0.705
0.000 0.000 0.937
0.500 0.500 0.307


Short version: version i is the least stable of them.


Version i
PBE YTcMo, relaxed; D(E_F) = 3.376 states/eV/f.u.; crystal system = orthorhombic; size of the total moment = 0.0 μB per formula unit
1.0
7.325 -0.016 0.011
6.507 2.836 0.022
0.818 -0.923 2.699
Mo Tc Y
1 1 1
direct
0.984 0.984 0.016
0.346 0.346 0.654
0.670 0.670 0.330


Version ii
PBE YTcMo, relaxed; D(E_F) = 1.679 states/eV/f.u.; crystal system = tetragonal; size of the total moment = 0.0 μB per formula unit
1.0
-2.002 1.209 5.452
2.270 -0.391 5.467
0.664 1.720 -5.639
Mo Tc Y
1 1 1
direct
0.976 0.976 0.000
0.355 0.355 0.000
0.669 0.669 0.000


Short version: version i is the least stable of them.


Version i
PBE Y2TcMo2, relaxed; D(E_F) = 9.077 states/eV/f.u.; crystal system = tetragonal; size of the total moment = 0.0 μB per formula unit
1.0
6.540 0.000 0.000
0.000 6.540 0.000
0.000 0.000 4.978
Y Mo Tc
4 4 2
direct
0.176 0.676 0.500
0.676 0.824 0.500
0.824 0.324 0.500
0.324 0.176 0.500
0.365 0.865 0.000
0.865 0.635 0.000
0.635 0.135 0.000
0.135 0.365 0.000
0.000 0.000 0.000
0.500 0.500 0.000


Version ii
PBE Y2TcMo2, relaxed; D(E_F) = 7.484 states/eV/f.u.; crystal system = tetragonal; size of the total moment = 0.0 μB per formula unit
1.0
3.008 5.675 7.017
3.835 8.226 2.849
-5.683 -5.952 -4.771
Y Tc Mo
2 1 2
direct
0.592 0.592 0.000
0.408 0.408 0.000
0.000 0.000 0.000
0.250 0.750 0.500
0.750 0.250 0.500


Short version: version ii is the least stable of them.